A plane-wave DFT calculation with PBE-GGA was carried out for a relaxed TaTe2Cl8 crystal.

Cell: 6.4916 7.9556 9.2635 Å, 66.74 69.49 90.00°
Last column: nearest neighbours and their distance in Å.
Atoms (fractional coordinates):
Ta 0.0000 0.0000 0.0000  6 Cl 2.34-2.44
Te 0.7528 0.5545 0.4945  1 Cl 2.36
Te 0.2472 0.4455 0.5055  1 Cl 2.36
Cl 0.3459 0.9954 0.8079  1 Ta 2.34
Cl 0.8461 0.9954 0.8079  1 Ta 2.34
Cl 0.6541 0.0046 0.1921  1 Ta 2.34
Cl 0.3895 0.4841 0.2210  1 Te 2.36
Cl 0.1539 0.0046 0.1921  1 Ta 2.34
Cl 0.9325 0.6616 0.1351  1 Ta 2.44
Cl 0.0675 0.3384 0.8649  1 Ta 2.44
Cl 0.6105 0.5159 0.7790  1 Te 2.36

Properties
V   406 Å³/cell
Formation energy without anion corrections   -18.85 kcal/mol of atoms
Symmetry   C2/m (12)